The following is a PBE calculation of crystalline LaHo2Pd at its relaxed geometry, from the Alexandria database.

Lattice parameters (Å, degrees): 3.7991 9.4278 6.5888 90.00 106.75 90.00
Space group P2_1/m (No. 11)
Inequivalent atoms, fractional coordinates:
La 0.0624 0.2500 0.1238 (multiplicity 2)
Ho 0.3603 0.0614 0.7221 (multiplicity 4)
Pd 0.2379 0.7500 0.4749 (multiplicity 2)

Total energy ... -0.1932 hartree per atom
Energy relative to the lowest polymorph listed for this composition ... 19 meV/atom

=====

The following is a PBE calculation of crystalline LaHo2Pd at its relaxed geometry, from the Alexandria database.

Lattice parameters (Å, degrees): 3.9211 3.9211 27.6490 90.00 90.00 120.00
Space group R3m (No. 160, hexagonal axes)
Inequivalent atoms, fractional coordinates:
La 0.0000 0.0000 0.0000 (multiplicity 3)
Ho 0.0000 0.0000 0.5570 (multiplicity 3)
Ho 0.0000 0.0000 0.7707 (multiplicity 3)
Pd 0.0000 0.0000 0.1634 (multiplicity 3)

Total energy ... -0.1888 hartree per atom
Energy relative to the lowest polymorph listed for this composition ... 138 meV/atom

=====

The following is a PBE calculation of crystalline La2HoPd4 at its relaxed geometry, from the Alexandria database.

Lattice parameters (Å, degrees): 8.9349 5.7707 7.9729 90.00 119.22 90.00
Space group C2/m (No. 12)
Inequivalent atoms, fractional coordinates:
La 0.2218 0.0000 0.3260 (multiplicity 4)
Ho 0.0000 0.5000 0.0000 (multiplicity 2)
Pd 0.1536 0.0000 0.6605 (multiplicity 4)
Pd 0.2500 0.2500 0.0000 (multiplicity 4)

Total energy ... -0.2076 hartree per atom

=====

The following is a PBE calculation of crystalline LaHo2Pd at its relaxed geometry, from the Alexandria database.

Lattice parameters (Å, degrees): 3.7641 3.7641 29.1688 90.00 90.00 120.00
Space group R-3m (No. 166, hexagonal axes)
Inequivalent atoms, fractional coordinates:
La 0.0000 0.0000 0.0000 (multiplicity 3)
Ho 0.0000 0.0000 0.2288 (multiplicity 6)
Pd 0.0000 0.0000 0.5000 (multiplicity 3)

Total energy ... -0.1883 hartree per atom
Energy relative to the lowest polymorph listed for this composition ... 153 meV/atom

=====

The following is a PBE calculation of crystalline LaHo3Pd at its relaxed geometry, from the Alexandria database.

Lattice parameters (Å, degrees): 5.4730 5.4730 5.4730 90.00 90.00 90.00
Space group Pm-3m (No. 221)
Inequivalent atoms, fractional coordinates:
La 0.0000 0.0000 0.0000 (multiplicity 1)
Ho 0.0000 0.5000 0.5000 (multiplicity 3)
Pd 0.5000 0.5000 0.5000 (multiplicity 1)

Total energy ... -0.1828 hartree per atom

=====

The following is a PBE calculation of crystalline LaHo5Pd2 at its relaxed geometry, from the Alexandria database.

Lattice parameters (Å, degrees): 3.8181 13.0235 18.1638 90.00 90.00 90.00
Space group Cmcm (No. 63)
Inequivalent atoms, fractional coordinates:
La 0.0000 0.1549 0.2500 (multiplicity 4)
Ho 0.0000 0.1065 0.7500 (multiplicity 4)
Ho 0.0000 0.1581 0.0447 (multiplicity 8)
Ho 0.0000 0.4464 0.0980 (multiplicity 8)
Pd 0.0000 0.2333 0.6258 (multiplicity 8)

Total energy ... -0.1895 hartree per atom

=====

Repeat the fourth record exactly.
The following is a PBE calculation of crystalline LaHo2Pd at its relaxed geometry, from the Alexandria database.

Lattice parameters (Å, degrees): 3.7641 3.7641 29.1688 90.00 90.00 120.00
Space group R-3m (No. 166, hexagonal axes)
Inequivalent atoms, fractional coordinates:
La 0.0000 0.0000 0.0000 (multiplicity 3)
Ho 0.0000 0.0000 0.2288 (multiplicity 6)
Pd 0.0000 0.0000 0.5000 (multiplicity 3)

Total energy ... -0.1883 hartree per atom
Energy relative to the lowest polymorph listed for this composition ... 153 meV/atom